Here is a relaxed structure of Sc2MoW from the Alexandria database. Energies are from PBE.

Output
As for the space group: No. 10. The energy of formation comes out at 0.2490 eV/atom.

Cell: 4.7022 2.8386 5.6335 Å, 75.58 90.00 90.00°
Fractional coordinates of all 4 atoms:
Mo 0.5000 0.7500 0.7500
Sc 0.0000 0.9457 0.0001
Sc 0.0000 0.5543 0.4999
W 0.5000 0.2500 0.2500